Record 1
TiIn2P2 after structural relaxation. Source: Alexandria via LeMat-Bulk, functional PBE.

```
TiIn2P2
1.0
-1.624 1.624 9.387
1.624 -1.624 9.387
1.624 1.624 -9.387
Ti In P
1 2 2
Cartesian
0.000 0.000 0.000
0.000 0.000 7.488
0.000 0.000 11.287
1.624 0.000 4.694
0.000 1.624 4.694
```

Polymorph energy (0 for the lowest one) (eV/f.u.): 1.564
VASP energy (eV/atom): -4.66
Energy relative to the elements (eV per formula unit): 0.9

Record 2
CaTmMgZn after structural relaxation. Source: Alexandria via LeMat-Bulk, functional PBE.

```
CaTmMgZn
1.0
0.000 3.711 3.711
3.711 0.000 3.711
3.711 3.711 0.000
Ca Tm Mg Zn
1 1 1 1
Cartesian
0.000 0.000 0.000
3.711 3.711 3.711
1.856 1.856 1.856
5.567 5.567 5.567
```

Polymorph energy (0 for the lowest one) (eV/f.u.): 0.236
VASP energy (eV/atom): -2.46
Energy relative to the elements (eV per formula unit): -0.5

Record 3
TmIn3Pt12 after structural relaxation. Source: Alexandria via LeMat-Bulk, functional PBE.

```
TmIn3Pt12
1.0
4.067 0.000 0.000
0.000 4.067 0.000
0.000 0.000 16.181
Tm In Pt
1 3 12
Cartesian
0.000 0.000 0.000
0.000 0.000 4.075
0.000 0.000 8.091
0.000 0.000 12.106
0.000 2.033 2.052
0.000 2.033 6.076
0.000 2.033 10.105
0.000 2.033 14.129
2.033 0.000 2.052
2.033 0.000 6.076
2.033 0.000 10.105
2.033 0.000 14.129
2.033 2.033 0.000
2.033 2.033 4.067
2.033 2.033 8.091
2.033 2.033 12.114
```

VASP energy (eV/atom): -5.88
Energy relative to the elements (eV per formula unit): -8.9

Record 4
Rb2GaHg2 after structural relaxation. Source: Alexandria via LeMat-Bulk, functional PBE.

```
Rb2GaHg2
1.0
-2.221 2.221 10.504
2.221 -2.221 10.504
2.221 2.221 -10.504
Rb Ga Hg
2 1 2
Cartesian
0.000 0.000 2.183
0.000 0.000 18.825
0.000 0.000 10.504
2.221 0.000 5.252
0.000 2.221 5.252
```

Polymorph energy (0 for the lowest one) (eV/f.u.): 0.457
VASP energy (eV/atom): -1.08
Energy relative to the elements (eV per formula unit): 0.2

> energy relative to the elements of number 3 (TmIn3Pt12)?

-8.9 eV per formula unit